--- a ---
Here is a relaxed structure of AgHS from Alexandria via LeMat-Bulk. Energies are from PBE.

The calculation puts the total magnetic moment at 0.000 μB/atom.

```
data_AgHS
_chemical_formula_sum 'Ag4 H4 S4'
_symmetry_space_group_name_H-M 'C 1 2/m 1'
_symmetry_Int_Tables_number 12
_cell_length_a 15.2351
_cell_length_b 4.5241
_cell_length_c 3.8149
_cell_angle_alpha 90.00
_cell_angle_beta 92.73
_cell_angle_gamma 90.00
loop_
_symmetry_equiv_pos_as_xyz
'x,y,z'
'-x,-y,-z'
'-x,y,-z'
'x,-y,z'
'x+1/2,y+1/2,z'
'-x+1/2,-y+1/2,-z'
'-x+1/2,y+1/2,-z'
'x+1/2,-y+1/2,z'
loop_
_atom_site_label
_atom_site_fract_x
_atom_site_fract_y
_atom_site_fract_z
Ag1 0.1966 0.0000 0.1075
H1 0.0875 0.5000 0.8559
S1 0.1294 0.5000 0.1780
```


--- b ---
Here is a relaxed structure of AgHS from Alexandria via LeMat-Bulk. Energies are from PBE.

The calculation puts the total magnetic moment at 0.000 μB/atom.

```
data_AgHS
_chemical_formula_sum 'Ag2 H2 S2'
_symmetry_space_group_name_H-M 'I 4 m m'
_symmetry_Int_Tables_number 107
_symmetry_space_group_name_Hall 'I 4 -2'
_cell_length_a 3.8285
_cell_length_b 3.8285
_cell_length_c 7.6398
_cell_angle_alpha 90.00
_cell_angle_beta 90.00
_cell_angle_gamma 90.00
loop_
_atom_site_label
_atom_site_fract_x
_atom_site_fract_y
_atom_site_fract_z
Ag1 0.0000 0.0000 0.0000
H1 0.0000 0.0000 0.3118
S1 0.0000 0.0000 0.4902
```


--- c ---
Here is a relaxed structure of AgHS from Alexandria via LeMat-Bulk. Energies are from PBE.

The calculation puts the total magnetic moment at 0.000 μB/atom.

```
data_AgHS
_chemical_formula_sum 'Ag2 H2 S2'
_symmetry_space_group_name_H-M 'P 1'
_symmetry_Int_Tables_number 1
_cell_length_a 4.5515
_cell_length_b 5.4203
_cell_length_c 6.3559
_cell_angle_alpha 97.40
_cell_angle_beta 93.68
_cell_angle_gamma 113.03
loop_
_symmetry_equiv_pos_as_xyz
'x,y,z'
loop_
_atom_site_label
_atom_site_fract_x
_atom_site_fract_y
_atom_site_fract_z
Ag1 0.0000 0.0000 0.0000
Ag2 0.3335 0.6278 0.0991
H1 0.8512 0.3089 0.7036
H2 0.9941 0.9241 0.4362
S1 0.1421 0.3009 0.7449
S2 0.8853 0.7122 0.2685
```


--- d ---
Here is a relaxed structure of AgHS from Alexandria via LeMat-Bulk. Energies are from PBE.

The calculation puts the total magnetic moment at 0.000 μB/atom.

```
data_AgHS
_chemical_formula_sum 'Ag2 H2 S2'
_symmetry_space_group_name_H-M 'P -1'
_symmetry_Int_Tables_number 2
_cell_length_a 4.4067
_cell_length_b 4.4114
_cell_length_c 6.5910
_cell_angle_alpha 86.10
_cell_angle_beta 86.55
_cell_angle_gamma 60.07
loop_
_symmetry_equiv_pos_as_xyz
'x,y,z'
'-x,-y,-z'
loop_
_atom_site_label
_atom_site_fract_x
_atom_site_fract_y
_atom_site_fract_z
Ag1 0.0128 0.0215 0.2297
H1 0.3302 0.3280 0.5423
S1 0.3212 0.3139 0.7483
```


The most stable arrangement is c, and the next structure is 11 meV per atom less stable.


--- a ---
Here is a relaxed structure of AgSb2H from Alexandria via LeMat-Bulk. Energies are from PBE.

The calculation puts the total magnetic moment at 0.000 μB/atom.

```
data_AgSb2H
_chemical_formula_sum 'Ag4 Sb8 H4'
_symmetry_space_group_name_H-M 'F m -3 m'
_symmetry_Int_Tables_number 225
_symmetry_space_group_name_Hall '-F 4 2 3'
_cell_length_a 6.7742
_cell_length_b 6.7742
_cell_length_c 6.7742
_cell_angle_alpha 90.00
_cell_angle_beta 90.00
_cell_angle_gamma 90.00
loop_
_atom_site_label
_atom_site_fract_x
_atom_site_fract_y
_atom_site_fract_z
Ag1 0.0000 0.0000 0.0000
Sb1 0.2500 0.2500 0.2500
H1 0.0000 0.0000 0.5000
```


--- b ---
Here is a relaxed structure of AgSb2H from Alexandria via LeMat-Bulk. Energies are from PBE.

The calculation puts the total magnetic moment at 0.000 μB/atom.

```
data_AgSb2H
_chemical_formula_sum 'Ag4 Sb8 H4'
_symmetry_space_group_name_H-M 'I -4 2 d'
_symmetry_Int_Tables_number 122
_symmetry_space_group_name_Hall 'I -4 2bw'
_cell_length_a 4.7621
_cell_length_b 4.7621
_cell_length_c 15.9211
_cell_angle_alpha 90.00
_cell_angle_beta 90.00
_cell_angle_gamma 90.00
loop_
_atom_site_label
_atom_site_fract_x
_atom_site_fract_y
_atom_site_fract_z
Ag1 0.0000 0.0000 0.0000
Sb1 0.1807 0.2500 0.6250
H1 0.0000 0.0000 0.5000
```


--- c ---
Here is a relaxed structure of AgSb2H from Alexandria via LeMat-Bulk. Energies are from PBE.

The calculation puts the total magnetic moment at 0.000 μB/atom.

```
data_AgSb2H
_chemical_formula_sum 'Ag3 Sb6 H3'
_symmetry_space_group_name_H-M 'R -3 m'
_symmetry_Int_Tables_number 166
_symmetry_space_group_name_Hall '-R 3 2"'
_cell_length_a 4.4085
_cell_length_b 4.4085
_cell_length_c 19.1238
_cell_angle_alpha 90.00
_cell_angle_beta 90.00
_cell_angle_gamma 120.00
loop_
_atom_site_label
_atom_site_fract_x
_atom_site_fract_y
_atom_site_fract_z
Ag1 0.0000 0.0000 0.0000
Sb1 0.0000 0.0000 0.3968
H1 0.0000 0.0000 0.5000
```


The most stable arrangement is c, and the next structure is 129 meV per atom less stable.


--- a ---
Here is a relaxed structure of Ag2Sb2H from Alexandria via LeMat-Bulk. Energies are from PBE.

The calculation puts the total magnetic moment at 0.175 μB/atom.

```
data_Ag2Sb2H
_chemical_formula_sum 'Ag4 Sb4 H2'
_symmetry_space_group_name_H-M 'P 4/m b m'
_symmetry_Int_Tables_number 127
_symmetry_space_group_name_Hall '-P 4 2ab'
_cell_length_a 8.7482
_cell_length_b 8.7482
_cell_length_c 3.0452
_cell_angle_alpha 90.00
_cell_angle_beta 90.00
_cell_angle_gamma 90.00
loop_
_atom_site_label
_atom_site_fract_x
_atom_site_fract_y
_atom_site_fract_z
Ag1 0.1496 0.3504 0.0000
Sb1 0.1483 0.6483 0.5000
H1 0.0000 0.0000 0.0000
```


--- b ---
Here is a relaxed structure of Ag2Sb2H from Alexandria via LeMat-Bulk. Energies are from PBE.

The calculation puts the total magnetic moment at 0.000 μB/atom.

```
data_Ag2Sb2H
_chemical_formula_sum 'Ag4 Sb4 H2'
_symmetry_space_group_name_H-M 'I 4/m m m'
_symmetry_Int_Tables_number 139
_symmetry_space_group_name_Hall '-I 4 2'
_cell_length_a 3.8671
_cell_length_b 3.8671
_cell_length_c 14.7470
_cell_angle_alpha 90.00
_cell_angle_beta 90.00
_cell_angle_gamma 90.00
loop_
_atom_site_label
_atom_site_fract_x
_atom_site_fract_y
_atom_site_fract_z
Ag1 0.0000 0.5000 0.2500
Sb1 0.0000 0.0000 0.1017
H1 0.0000 0.0000 0.5000
```


The most stable arrangement is a, and the next structure is 32 meV per atom less stable.


--- a ---
Here is a relaxed structure of AgSbH2 from Alexandria via LeMat-Bulk. Energies are from PBE.

The calculation puts the total magnetic moment at 0.000 μB/atom.

```
data_AgSbH2
_chemical_formula_sum 'Ag4 Sb4 H8'
_symmetry_space_group_name_H-M 'I -4 2 d'
_symmetry_Int_Tables_number 122
_symmetry_space_group_name_Hall 'I -4 2bw'
_cell_length_a 5.1721
_cell_length_b 5.1721
_cell_length_c 8.5582
_cell_angle_alpha 90.00
_cell_angle_beta 90.00
_cell_angle_gamma 90.00
loop_
_atom_site_label
_atom_site_fract_x
_atom_site_fract_y
_atom_site_fract_z
Ag1 0.0000 0.0000 0.0000
Sb1 0.0000 0.0000 0.5000
H1 0.1517 0.2500 0.1250
```


--- b ---
Here is a relaxed structure of AgSbH2 from Alexandria via LeMat-Bulk. Energies are from PBE.

The calculation puts the total magnetic moment at 0.000 μB/atom.

```
data_AgSbH2
_chemical_formula_sum 'Ag4 Sb4 H8'
_symmetry_space_group_name_H-M 'F m -3 m'
_symmetry_Int_Tables_number 225
_symmetry_space_group_name_Hall '-F 4 2 3'
_cell_length_a 5.9347
_cell_length_b 5.9347
_cell_length_c 5.9347
_cell_angle_alpha 90.00
_cell_angle_beta 90.00
_cell_angle_gamma 90.00
loop_
_atom_site_label
_atom_site_fract_x
_atom_site_fract_y
_atom_site_fract_z
Ag1 0.0000 0.0000 0.0000
Sb1 0.0000 0.0000 0.5000
H1 0.2500 0.2500 0.2500
```


The most stable arrangement is a, and the next structure is 262 meV per atom less stable.


--- a ---
Here is a relaxed structure of Ag2SbH from Alexandria via LeMat-Bulk. Energies are from PBE.

The calculation puts the total magnetic moment at 0.161 μB/atom.

```
data_Ag2SbH
_chemical_formula_sum 'Ag8 Sb4 H4'
_symmetry_space_group_name_H-M 'F m -3 m'
_symmetry_Int_Tables_number 225
_symmetry_space_group_name_Hall '-F 4 2 3'
_cell_length_a 6.6041
_cell_length_b 6.6041
_cell_length_c 6.6041
_cell_angle_alpha 90.00
_cell_angle_beta 90.00
_cell_angle_gamma 90.00
loop_
_atom_site_label
_atom_site_fract_x
_atom_site_fract_y
_atom_site_fract_z
Ag1 0.2500 0.2500 0.2500
Sb1 0.0000 0.0000 0.0000
H1 0.0000 0.0000 0.5000
```


--- b ---
Here is a relaxed structure of Ag2SbH from Alexandria via LeMat-Bulk. Energies are from PBE.

The calculation puts the total magnetic moment at 0.000 μB/atom.

```
data_Ag2SbH
_chemical_formula_sum 'Ag8 Sb4 H4'
_symmetry_space_group_name_H-M 'I -4 2 d'
_symmetry_Int_Tables_number 122
_symmetry_space_group_name_Hall 'I -4 2bw'
_cell_length_a 6.2684
_cell_length_b 6.2684
_cell_length_c 7.0974
_cell_angle_alpha 90.00
_cell_angle_beta 90.00
_cell_angle_gamma 90.00
loop_
_atom_site_label
_atom_site_fract_x
_atom_site_fract_y
_atom_site_fract_z
Ag1 0.1215 0.2500 0.1250
Sb1 0.0000 0.0000 0.5000
H1 0.0000 0.0000 0.0000
```


The most stable arrangement is b, and the next structure is 345 meV per atom less stable.


--- a ---
Here is a relaxed structure of Sc2AgSbH from Alexandria via LeMat-Bulk. Energies are from PBE.

The calculation puts the total magnetic moment at 0.266 μB/atom.

```
data_Sc2AgSbH
_chemical_formula_sum 'Sc2 Ag1 Sb1 H1'
_symmetry_space_group_name_H-M 'P 4/m m m'
_symmetry_Int_Tables_number 123
_symmetry_space_group_name_Hall '-P 4 2'
_cell_length_a 4.4695
_cell_length_b 4.4695
_cell_length_c 4.2795
_cell_angle_alpha 90.00
_cell_angle_beta 90.00
_cell_angle_gamma 90.00
loop_
_atom_site_label
_atom_site_fract_x
_atom_site_fract_y
_atom_site_fract_z
Sc1 0.0000 0.5000 0.0000
Ag1 0.0000 0.0000 0.5000
Sb1 0.5000 0.5000 0.5000
H1 0.0000 0.0000 0.0000
```


--- b ---
Here is a relaxed structure of Sc2AgSbH from Alexandria via LeMat-Bulk. Energies are from PBE.

The calculation puts the total magnetic moment at 0.000 μB/atom.

```
data_Sc2AgSbH
_chemical_formula_sum 'Sc2 Ag1 Sb1 H1'
_symmetry_space_group_name_H-M 'P 4/m m m'
_symmetry_Int_Tables_number 123
_symmetry_space_group_name_Hall '-P 4 2'
_cell_length_a 5.3952
_cell_length_b 5.3952
_cell_length_c 3.4990
_cell_angle_alpha 90.00
_cell_angle_beta 90.00
_cell_angle_gamma 90.00
loop_
_atom_site_label
_atom_site_fract_x
_atom_site_fract_y
_atom_site_fract_z
Sc1 0.0000 0.5000 0.0000
Ag1 0.0000 0.0000 0.0000
Sb1 0.5000 0.5000 0.5000
H1 0.0000 0.0000 0.5000
```


The most stable arrangement is a, and the next structure is 491 meV per atom less stable.


--- a ---
Here is a relaxed structure of ScAgH2 from Alexandria via LeMat-Bulk. Energies are from PBE.

The calculation puts the total magnetic moment at 0.000 μB/atom.

```
data_ScAgH2
_chemical_formula_sum 'Sc4 Ag4 H8'
_symmetry_space_group_name_H-M 'I -4 2 d'
_symmetry_Int_Tables_number 122
_symmetry_space_group_name_Hall 'I -4 2bw'
_cell_length_a 4.4075
_cell_length_b 4.4075
_cell_length_c 10.1256
_cell_angle_alpha 90.00
_cell_angle_beta 90.00
_cell_angle_gamma 90.00
loop_
_atom_site_label
_atom_site_fract_x
_atom_site_fract_y
_atom_site_fract_z
Sc1 0.0000 0.0000 0.0000
Ag1 0.0000 0.0000 0.5000
H1 0.2196 0.2500 0.1250
```


--- b ---
Here is a relaxed structure of ScAgH2 from Alexandria via LeMat-Bulk. Energies are from PBE.

The calculation puts the total magnetic moment at 0.000 μB/atom.

```
data_ScAgH2
_chemical_formula_sum 'Sc4 Ag4 H8'
_symmetry_space_group_name_H-M 'F m -3 m'
_symmetry_Int_Tables_number 225
_symmetry_space_group_name_Hall '-F 4 2 3'
_cell_length_a 5.6377
_cell_length_b 5.6377
_cell_length_c 5.6377
_cell_angle_alpha 90.00
_cell_angle_beta 90.00
_cell_angle_gamma 90.00
loop_
_atom_site_label
_atom_site_fract_x
_atom_site_fract_y
_atom_site_fract_z
Sc1 0.0000 0.0000 0.0000
Ag1 0.0000 0.0000 0.5000
H1 0.2500 0.2500 0.2500
```


The most stable arrangement is a, and the next structure is 79 meV per atom less stable.


--- a ---
Here is a relaxed structure of Sc2AgH from Alexandria via LeMat-Bulk. Energies are from PBE.

The calculation puts the total magnetic moment at 0.000 μB/atom.

```
data_Sc2AgH
_chemical_formula_sum 'Sc8 Ag4 H4'
_symmetry_space_group_name_H-M 'I -4 2 d'
_symmetry_Int_Tables_number 122
_symmetry_space_group_name_Hall 'I -4 2bw'
_cell_length_a 6.2641
_cell_length_b 6.2641
_cell_length_c 6.9772
_cell_angle_alpha 90.00
_cell_angle_beta 90.00
_cell_angle_gamma 90.00
loop_
_atom_site_label
_atom_site_fract_x
_atom_site_fract_y
_atom_site_fract_z
Sc1 0.1515 0.2500 0.1250
Ag1 0.0000 0.0000 0.5000
H1 0.0000 0.0000 0.0000
```


--- b ---
Here is a relaxed structure of Sc2AgH from Alexandria via LeMat-Bulk. Energies are from PBE.

The calculation puts the total magnetic moment at 0.000 μB/atom.

```
data_Sc2AgH
_chemical_formula_sum 'Sc8 Ag4 H4'
_symmetry_space_group_name_H-M 'F m -3 m'
_symmetry_Int_Tables_number 225
_symmetry_space_group_name_Hall '-F 4 2 3'
_cell_length_a 6.5726
_cell_length_b 6.5726
_cell_length_c 6.5726
_cell_angle_alpha 90.00
_cell_angle_beta 90.00
_cell_angle_gamma 90.00
loop_
_atom_site_label
_atom_site_fract_x
_atom_site_fract_y
_atom_site_fract_z
Sc1 0.2500 0.2500 0.2500
Ag1 0.0000 0.0000 0.0000
H1 0.0000 0.0000 0.5000
```


--- c ---
Here is a relaxed structure of Sc2AgH from Alexandria via LeMat-Bulk. Energies are from PBE.

The calculation puts the total magnetic moment at 0.000 μB/atom.

```
data_Sc2AgH
_chemical_formula_sum 'Sc6 Ag3 H3'
_symmetry_space_group_name_H-M 'R -3 m'
_symmetry_Int_Tables_number 166
_symmetry_space_group_name_Hall '-R 3 2"'
_cell_length_a 3.1514
_cell_length_b 3.1514
_cell_length_c 24.1551
_cell_angle_alpha 90.00
_cell_angle_beta 90.00
_cell_angle_gamma 120.00
loop_
_atom_site_label
_atom_site_fract_x
_atom_site_fract_y
_atom_site_fract_z
Sc1 0.0000 0.0000 0.1160
Ag1 0.0000 0.0000 0.0000
H1 0.0000 0.0000 0.5000
```


The most stable arrangement is a, and the next structure is 179 meV per atom less stable.